P.
{"formula": "InGeH", "functional": "PBE", "state": "relaxed", "rho_g_cm3": 5.6, "lattice": [[2.576, -3.424, 0.000], [2.576, 3.424, 0.000], [0.000, 0.000, 6.332]], "species": ["In", "In", "Ge", "Ge", "H", "H"], "frac_coords": [[0.000, 0.000, 0.000], [0.000, 0.000, 0.500], [0.486, 0.514, 0.750], [0.514, 0.486, 0.250], [0.276, 0.724, 0.250], [0.724, 0.276, 0.750]]}

---

Q.
{"formula": "InGeH", "functional": "PBE", "state": "relaxed", "rho_g_cm3": 5.0, "lattice": [[6.663, -2.101, 0.000], [6.663, 2.101, 0.000], [-1.221, 0.000, 4.463]], "species": ["In", "In", "Ge", "Ge", "H", "H"], "frac_coords": [[0.111, 0.111, 0.030], [0.889, 0.889, 0.970], [0.249, 0.249, 0.674], [0.751, 0.751, 0.326], [0.474, 0.474, 0.520], [0.526, 0.526, 0.480]]}

---

R.
{"formula": "InGeH", "functional": "PBE", "state": "relaxed", "rho_g_cm3": 6.0, "lattice": [[7.896, 0.000, 0.000], [0.000, 3.441, 0.000], [0.000, 0.000, 7.615]], "species": ["In", "In", "In", "In", "Ge", "Ge", "Ge", "Ge", "H", "H", "H", "H"], "frac_coords": [[0.000, 0.250, 0.249], [0.000, 0.750, 0.751], [0.500, 0.250, 0.251], [0.500, 0.750, 0.749], [0.249, 0.250, 0.533], [0.251, 0.750, 0.033], [0.749, 0.250, 0.967], [0.751, 0.750, 0.467], [0.247, 0.750, 0.450], [0.253, 0.250, 0.950], [0.747, 0.750, 0.050], [0.753, 0.250, 0.550]]}

---

The computed energies, referenced to the most stable structure and given in kJ/mol of atoms, are P 11.6; Q 0.0; R 19.9.

---

P.
{"formula": "InGe3H", "functional": "PBE", "state": "relaxed", "rho_g_cm3": 6.3, "lattice": [[4.457, 0.000, 0.000], [0.000, 4.457, 0.000], [0.000, 0.000, 4.457]], "species": ["In", "Ge", "Ge", "Ge", "H"], "frac_coords": [[0.000, 0.000, 0.000], [0.000, 0.500, 0.500], [0.500, 0.000, 0.500], [0.500, 0.500, 0.000], [0.500, 0.500, 0.500]]}

---

Q.
{"formula": "InGe3H", "functional": "PBE", "state": "relaxed", "rho_g_cm3": 3.6, "lattice": [[5.352, 0.000, 0.000], [0.000, 5.352, 0.000], [0.000, 0.000, 5.352]], "species": ["In", "Ge", "Ge", "Ge", "H"], "frac_coords": [[0.000, 0.000, 0.000], [0.000, 0.000, 0.500], [0.000, 0.500, 0.000], [0.500, 0.000, 0.000], [0.500, 0.500, 0.500]]}

---

The computed energies, referenced to the most stable structure and given in kJ/mol of atoms, are P 0.0; Q 88.9.

---

P.
{"formula": "In2GeH", "functional": "PBE", "state": "relaxed", "rho_g_cm3": 6.5, "lattice": [[0.000, 3.381, 3.381], [3.381, 0.000, 3.381], [3.381, 3.381, 0.000]], "species": ["In", "In", "Ge", "H"], "frac_coords": [[0.250, 0.250, 0.250], [0.750, 0.750, 0.750], [0.000, 0.000, 0.000], [0.500, 0.500, 0.500]]}

---

Q.
{"formula": "In2GeH", "functional": "PBE", "state": "relaxed", "rho_g_cm3": 5.7, "lattice": [[-2.534, 2.534, 6.825], [2.534, -2.534, 6.825], [2.534, 2.534, -6.825]], "species": ["In", "In", "In", "In", "Ge", "Ge", "H", "H"], "frac_coords": [[0.043, 0.625, 0.918], [0.375, 0.293, 0.418], [0.707, 0.125, 0.082], [0.875, 0.957, 0.582], [0.250, 0.750, 0.500], [0.500, 0.500, 0.000], [0.000, 0.000, 0.000], [0.750, 0.250, 0.500]]}

---

The computed energies, referenced to the most stable structure and given in kJ/mol of atoms, are P 6.9; Q 0.0.

---

P.
{"formula": "Ge3HIr", "functional": "PBE", "state": "relaxed", "rho_g_cm3": 9.6, "lattice": [[4.137, 0.000, 0.000], [0.000, 4.137, 0.000], [0.000, 0.000, 4.137]], "species": ["Ge", "Ge", "Ge", "H", "Ir"], "frac_coords": [[0.000, 0.000, 0.500], [0.000, 0.500, 0.000], [0.500, 0.000, 0.000], [0.000, 0.000, 0.000], [0.500, 0.500, 0.500]]}

---

Q.
{"formula": "Ge3HIr", "functional": "PBE", "state": "relaxed", "rho_g_cm3": 6.1, "lattice": [[4.816, 0.000, 0.000], [0.000, 4.816, 0.000], [0.000, 0.000, 4.816]], "species": ["Ge", "Ge", "Ge", "H", "Ir"], "frac_coords": [[0.000, 0.000, 0.500], [0.000, 0.500, 0.000], [0.500, 0.000, 0.000], [0.500, 0.500, 0.500], [0.000, 0.000, 0.000]]}

---

The computed energies, referenced to the most stable structure and given in kJ/mol of atoms, are P 0.0; Q 19.8.

---

P.
{"formula": "GeH2Ir", "functional": "PBE", "state": "relaxed", "rho_g_cm3": 10.1, "lattice": [[-2.255, 2.255, 4.322], [2.255, -2.255, 4.322], [2.255, 2.255, -4.322]], "species": ["Ge", "Ge", "H", "H", "H", "H", "Ir", "Ir"], "frac_coords": [[0.000, 0.000, 0.000], [0.750, 0.250, 0.500], [0.219, 0.625, 0.094], [0.375, 0.469, 0.594], [0.531, 0.125, 0.906], [0.875, 0.781, 0.406], [0.250, 0.750, 0.500], [0.500, 0.500, 0.000]]}

---

Q.
{"formula": "GeH2Ir", "functional": "PBE", "state": "relaxed", "rho_g_cm3": 11.5, "lattice": [[0.000, 2.682, 2.682], [2.682, 0.000, 2.682], [2.682, 2.682, 0.000]], "species": ["Ge", "H", "H", "Ir"], "frac_coords": [[0.000, 0.000, 0.000], [0.250, 0.250, 0.250], [0.750, 0.750, 0.750], [0.500, 0.500, 0.500]]}

---

The computed energies, referenced to the most stable structure and given in kJ/mol of atoms, are P 0.0; Q 44.3.

---

P.
{"formula": "K3GeH", "functional": "PBE", "state": "relaxed", "rho_g_cm3": 1.9, "lattice": [[3.779, 2.182, 6.667], [-3.779, 2.182, 6.667], [0.000, -4.364, 6.667]], "species": ["K", "K", "K", "K", "K", "K", "Ge", "Ge", "H", "H"], "frac_coords": [[0.087, 0.087, 0.575], [0.087, 0.575, 0.087], [0.425, 0.913, 0.913], [0.575, 0.087, 0.087], [0.913, 0.425, 0.913], [0.913, 0.913, 0.425], [0.440, 0.440, 0.440], [0.560, 0.560, 0.560], [0.167, 0.167, 0.167], [0.833, 0.833, 0.833]]}

---

Q.
{"formula": "K3GeH", "functional": "PBE", "state": "relaxed", "rho_g_cm3": 2.0, "lattice": [[5.433, 0.000, 0.000], [0.000, 5.433, 0.000], [0.000, 0.000, 5.433]], "species": ["K", "K", "K", "Ge", "H"], "frac_coords": [[0.000, 0.000, 0.500], [0.000, 0.500, 0.000], [0.500, 0.000, 0.000], [0.500, 0.500, 0.500], [0.000, 0.000, 0.000]]}

---

The computed energies, referenced to the most stable structure and given in kJ/mol of atoms, are P 0.0; Q 8.8.

---

P.
{"formula": "KGeH2", "functional": "PBE", "state": "relaxed", "rho_g_cm3": 2.4, "lattice": [[4.832, 0.000, 0.000], [-0.099, 5.218, 0.000], [-2.060, -1.106, 6.301]], "species": ["K", "K", "Ge", "Ge", "H", "H", "H", "H"], "frac_coords": [[0.000, 0.000, 0.000], [0.240, 0.457, 0.531], [0.546, 0.574, 0.089], [0.723, 0.920, 0.435], [0.394, 0.954, 0.445], [0.507, 0.320, 0.188], [0.774, 0.716, 0.603], [0.877, 0.508, 0.096]]}

---

Q.
{"formula": "KGeH2", "functional": "PBE", "state": "relaxed", "rho_g_cm3": 3.0, "lattice": [[0.000, 3.141, 3.141], [3.141, 0.000, 3.141], [3.141, 3.141, 0.000]], "species": ["K", "Ge", "H", "H"], "frac_coords": [[0.000, 0.000, 0.000], [0.500, 0.500, 0.500], [0.250, 0.250, 0.250], [0.750, 0.750, 0.750]]}

---

R.
{"formula": "KGeH2", "functional": "PBE", "state": "relaxed", "rho_g_cm3": 2.7, "lattice": [[-2.472, 2.472, 5.776], [2.472, -2.472, 5.776], [2.472, 2.472, -5.776]], "species": ["K", "K", "Ge", "Ge", "H", "H", "H", "H"], "frac_coords": [[0.000, 0.000, 0.000], [0.750, 0.250, 0.500], [0.250, 0.750, 0.500], [0.500, 0.500, 0.000], [0.341, 0.625, 0.216], [0.375, 0.591, 0.716], [0.409, 0.125, 0.784], [0.875, 0.659, 0.284]]}

---

The computed energies, referenced to the most stable structure and given in kJ/mol of atoms, are P 0.0; Q 75.2; R 36.7.

---

P.
{"formula": "KGeH3", "functional": "PBE", "state": "relaxed", "rho_g_cm3": 2.3, "lattice": [[4.349, 0.000, 0.000], [0.000, 4.349, 0.000], [0.000, 0.000, 4.349]], "species": ["K", "Ge", "H", "H", "H"], "frac_coords": [[0.000, 0.000, 0.000], [0.500, 0.500, 0.500], [0.000, 0.000, 0.500], [0.000, 0.500, 0.000], [0.500, 0.000, 0.000]]}

---

Q.
{"formula": "KGeH3", "functional": "PBE", "state": "relaxed", "rho_g_cm3": 2.9, "lattice": [[4.043, 0.000, 0.000], [0.000, 4.043, 0.000], [0.000, 0.000, 4.043]], "species": ["K", "Ge", "H", "H", "H"], "frac_coords": [[0.000, 0.000, 0.000], [0.500, 0.500, 0.500], [0.000, 0.500, 0.500], [0.500, 0.000, 0.500], [0.500, 0.500, 0.000]]}

---

R.
{"formula": "KGeH3", "functional": "PBE", "state": "relaxed", "rho_g_cm3": 2.2, "lattice": [[3.277, 1.892, 4.653], [-3.277, 1.892, 4.653], [0.000, -3.783, 4.653]], "species": ["K", "K", "Ge", "Ge", "H", "H", "H", "H", "H", "H"], "frac_coords": [[0.000, 0.000, 0.000], [0.500, 0.500, 0.500], [0.255, 0.255, 0.255], [0.755, 0.755, 0.755], [0.165, 0.999, 0.406], [0.406, 0.165, 0.999], [0.499, 0.665, 0.906], [0.665, 0.906, 0.499], [0.906, 0.499, 0.665], [0.999, 0.406, 0.165]]}

---

S.
{"formula": "KGeH3", "functional": "PBE", "state": "relaxed", "rho_g_cm3": 2.1, "lattice": [[7.250, 0.000, 0.000], [0.000, 4.670, 0.000], [0.000, 0.000, 5.370]], "species": ["K", "K", "Ge", "Ge", "H", "H", "H", "H", "H", "H"], "frac_coords": [[0.000, 0.173, 0.000], [0.500, 0.827, 0.500], [0.000, 0.677, 0.485], [0.500, 0.323, 0.985], [0.000, 0.334, 0.513], [0.158, 0.713, 0.696], [0.342, 0.287, 0.196], [0.500, 0.666, 0.013], [0.658, 0.287, 0.196], [0.842, 0.713, 0.696]]}

---

The computed energies, referenced to the most stable structure and given in kJ/mol of atoms, are P 118.3; Q 22.8; R 2.4; S 0.0.

---

P.
{"formula": "K2GeH", "functional": "PBE", "state": "relaxed", "rho_g_cm3": 2.0, "lattice": [[0.000, 4.004, 4.004], [4.004, 0.000, 4.004], [4.004, 4.004, 0.000]], "species": ["K", "K", "Ge", "H"], "frac_coords": [[0.250, 0.250, 0.250], [0.750, 0.750, 0.750], [0.000, 0.000, 0.000], [0.500, 0.500, 0.500]]}

---

Q.
{"formula": "K2GeH", "functional": "PBE", "state": "relaxed", "rho_g_cm3": 2.0, "lattice": [[-3.821, 3.821, 4.428], [3.821, -3.821, 4.428], [3.821, 3.821, -4.428]], "species": ["K", "K", "K", "K", "Ge", "Ge", "H", "H"], "frac_coords": [[0.029, 0.125, 0.404], [0.375, 0.971, 0.096], [0.721, 0.625, 0.596], [0.875, 0.279, 0.904], [0.250, 0.750, 0.500], [0.500, 0.500, 0.000], [0.000, 0.000, 0.000], [0.750, 0.250, 0.500]]}

---

The computed energies, referenced to the most stable structure and given in kJ/mol of atoms, are P 11.4; Q 0.0.

---

P.
{"formula": "LaGeH3", "functional": "PBE", "state": "relaxed", "rho_g_cm3": 6.0, "lattice": [[3.897, 0.000, 0.000], [0.000, 3.897, 0.000], [0.000, 0.000, 3.897]], "species": ["La", "Ge", "H", "H", "H"], "frac_coords": [[0.000, 0.000, 0.000], [0.500, 0.500, 0.500], [0.000, 0.500, 0.500], [0.500, 0.000, 0.500], [0.500, 0.500, 0.000]]}

---

Q.
{"formula": "LaGeH3", "functional": "PBE", "state": "relaxed", "rho_g_cm3": 4.3, "lattice": [[4.361, 0.000, 0.000], [0.000, 4.361, 0.000], [0.000, 0.000, 4.361]], "species": ["La", "Ge", "H", "H", "H"], "frac_coords": [[0.000, 0.000, 0.000], [0.500, 0.500, 0.500], [0.000, 0.000, 0.500], [0.000, 0.500, 0.000], [0.500, 0.000, 0.000]]}

---

The computed energies, referenced to the most stable structure and given in kJ/mol of atoms, are P 0.0; Q 19.4.

---

P.
{"formula": "LaGe2H", "functional": "PBE", "state": "relaxed", "rho_g_cm3": 5.8, "lattice": [[-2.669, 2.669, 5.754], [2.669, -2.669, 5.754], [2.669, 2.669, -5.754]], "species": ["La", "La", "Ge", "Ge", "Ge", "Ge", "H", "H"], "frac_coords": [[0.375, 0.625, 0.750], [0.625, 0.375, 0.250], [0.000, 0.000, 0.000], [0.000, 0.000, 0.500], [0.000, 0.500, 0.000], [0.500, 0.000, 0.500], [0.125, 0.875, 0.250], [0.875, 0.125, 0.750]]}

---

Q.
{"formula": "LaGe2H", "functional": "PBE", "state": "relaxed", "rho_g_cm3": 5.6, "lattice": [[0.000, 3.479, 3.479], [3.479, 0.000, 3.479], [3.479, 3.479, 0.000]], "species": ["La", "Ge", "Ge", "H"], "frac_coords": [[0.000, 0.000, 0.000], [0.250, 0.250, 0.250], [0.750, 0.750, 0.750], [0.500, 0.500, 0.500]]}

---

The computed energies, referenced to the most stable structure and given in kJ/mol of atoms, are P 0.0; Q 37.7.